Computed, not measured: an optimized crystal structure of CaTc2Hg at the PBE-GGA level of DFT.

Calculated volume   18.43 Å³ per atom
Total magnetization   0.00 μB/cell
Calculated formation energy   563 meV/atom

The structure in CIF format:
```
data_CaTc2Hg
_space_group_name_H-M_alt 'P m m m'
_space_group_IT_number 47
_cell_length_a 3.3737
_cell_length_b 4.5274
_cell_length_c 4.8259
_cell_angle_alpha 90.00
_cell_angle_beta 90.00
_cell_angle_gamma 90.00
loop_
_space_group_symop_operation_xyz
'x,y,z'
'-x,-y,-z'
'-x,-y,z'
'x,y,-z'
'x,-y,-z'
'-x,y,z'
'-x,y,-z'
'x,-y,z'
loop_
_atom_site_label
_atom_site_fract_x
_atom_site_fract_y
_atom_site_fract_z
Ca1 0.0000 0.0000 0.0000
Tc1 0.0000 0.5000 0.5000
Tc2 0.5000 0.0000 0.5000
Hg1 0.5000 0.5000 0.0000
```



Computed, not measured: an optimized crystal structure of La2Tb3Nd6Ho at the PBE-GGA level of DFT.

Calculated volume   34.41 Å³ per atom
Total magnetization   0.00 μB/cell
Calculated formation energy   17 meV/atom

The structure in CIF format:
```
data_La2Tb3Nd6Ho
_space_group_name_H-M_alt 'C 1 2/m 1'
_space_group_IT_number 12
_cell_length_a 6.3304
_cell_length_b 10.9672
_cell_length_c 12.0842
_cell_angle_alpha 90.00
_cell_angle_beta 100.11
_cell_angle_gamma 90.00
loop_
_space_group_symop_operation_xyz
'x,y,z'
'-x,-y,-z'
'-x,y,-z'
'x,-y,z'
'x+1/2,y+1/2,z'
'-x+1/2,-y+1/2,-z'
'-x+1/2,y+1/2,-z'
'x+1/2,-y+1/2,z'
loop_
_atom_site_label
_atom_site_fract_x
_atom_site_fract_y
_atom_site_fract_z
La1 0.0000 0.1667 0.0000
Tb1 0.0000 0.0000 0.5000
Tb2 0.0000 0.3337 0.5000
Nd1 0.2474 0.5000 0.7460
Nd2 0.2496 0.1658 0.7463
Ho1 0.0000 0.5000 0.0000
```



Computed, not measured: an optimized crystal structure of Ba2Ge2Br at the PBE-GGA level of DFT.

Energy relative to the elements, uncorrected   -0.76 eV/atom
Calculated volume   32.86 Å³ per atom
Distance to the lowest polymorph of the same formula   283 meV/atom
Total magnetization   0.00 μB/cell

The structure in CIF format:
```
data_Ba2Ge2Br
_space_group_name_H-M_alt 'I 4/m m m'
_space_group_IT_number 139
_space_group_name_Hall '-I 4 2'
_cell_length_a 4.1645
_cell_length_b 4.1645
_cell_length_c 18.9496
_cell_angle_alpha 90.00
_cell_angle_beta 90.00
_cell_angle_gamma 90.00
loop_
_atom_site_label
_atom_site_fract_x
_atom_site_fract_y
_atom_site_fract_z
Ba1 0.0000 0.0000 0.1144
Ge1 0.0000 0.5000 0.2500
Br1 0.0000 0.0000 0.5000
```



Computed, not measured: an optimized crystal structure of NbCdClF2 at the PBE-GGA level of DFT.

Energy relative to the elements, uncorrected   0.42 eV/atom
Calculated volume   21.29 Å³ per atom
Total magnetization   3.65 μB/cell

The structure in CIF format:
```
data_NbCdClF2
_space_group_name_H-M_alt 'P 4/m m m'
_space_group_IT_number 123
_space_group_name_Hall '-P 4 2'
_cell_length_a 4.5742
_cell_length_b 4.5742
_cell_length_c 5.0884
_cell_angle_alpha 90.00
_cell_angle_beta 90.00
_cell_angle_gamma 90.00
loop_
_atom_site_label
_atom_site_fract_x
_atom_site_fract_y
_atom_site_fract_z
Nb1 0.0000 0.0000 0.0000
Cd1 0.5000 0.5000 0.0000
Cl1 0.5000 0.5000 0.5000
F1 0.0000 0.5000 0.5000
```



Computed, not measured: an optimized crystal structure of Pm4Ag2Sn at the PBE-GGA level of DFT.

Calculated volume   29.43 Å³ per atom
Distance to the lowest polymorph of the same formula   0 meV/atom
Total magnetization   0.00 μB/cell
Calculated formation energy   -290 meV/atom

The structure in CIF format:
```
data_Pm4Ag2Sn
_space_group_name_H-M_alt 'I -4 2 d'
_space_group_IT_number 122
_space_group_name_Hall 'I -4 2bw'
_cell_length_a 9.5636
_cell_length_b 9.5636
_cell_length_c 9.0108
_cell_angle_alpha 90.00
_cell_angle_beta 90.00
_cell_angle_gamma 90.00
loop_
_atom_site_label
_atom_site_fract_x
_atom_site_fract_y
_atom_site_fract_z
Pm1 0.0653 0.1756 0.3093
Ag1 0.1246 0.2500 0.6250
Sn1 0.0000 0.0000 0.0000
```



Computed, not measured: an optimized crystal structure of GaTeSe2 at the PBE-GGA level of DFT.

Energy relative to the elements, uncorrected   -0.01 eV/atom
Calculated volume   27.69 Å³ per atom
Distance to the lowest polymorph of the same formula   316 meV/atom
Total magnetization   0.00 μB/cell

The structure in CIF format:
```
data_GaTeSe2
_space_group_name_H-M_alt 'I -4 2 d'
_space_group_IT_number 122
_space_group_name_Hall 'I -4 2bw'
_cell_length_a 7.1468
_cell_length_b 7.1468
_cell_length_c 8.6734
_cell_angle_alpha 90.00
_cell_angle_beta 90.00
_cell_angle_gamma 90.00
loop_
_atom_site_label
_atom_site_fract_x
_atom_site_fract_y
_atom_site_fract_z
Ga1 0.0000 0.0000 0.0000
Te1 0.0000 0.0000 0.5000
Se1 0.2050 0.2500 0.1250
```